Here is a relaxed MnCuNi2 crystal from Alexandria. Energies are from PBE.

## Properties
total magnetization: 4.28 μB/f.u.
ΔH_f (0 K): -0.0285 eV/atom
raw total energy: -24.94 eV/f.u.

Cell: 2.687 3.321 5.248 Å, 90.00 90.00 90.00°
Space group Pmmm (No. 47)
One atom of each set of equivalent atoms:
Mn  0.000  0.000  0.000 [1 per cell]
Cu  0.000  0.000  0.500 [1 per cell]
Ni  0.500  0.500  0.252 [2 per cell]